Record 1
A relaxed AcCeTl2Se4 crystal. Source: Alexandria via LeMat-Bulk, functional GGA-PBE.

a = 4.4717 Å, b = 8.1287 Å, c = 7.7424 Å
α = 71.50°, β = 90.00°, γ = 90.00°
Closest atoms and distances in Å follow each position.
Sites, in units of the cell vectors:
Ac 0.5000 0.5000 0.0000  6 Se 3.10-3.11
Ce 0.0000 0.5000 0.5000  6 Se 3.00-3.02
Tl 0.0000 0.0000 0.0000  6 Se 3.44-3.45
Tl 0.5000 0.0000 0.5000  6 Se 3.35-3.36
Se 0.0000 0.7157 0.7513  1 Ce 3.00, 2 Ac 3.10, 2 Tl 3.36
Se 0.0000 0.2843 0.2487  1 Ce 3.00, 2 Ac 3.10, 2 Tl 3.36
Se 0.5000 0.7107 0.2730  2 Ce 3.02, 1 Ac 3.11, 1 Tl 3.35
Se 0.5000 0.2893 0.7270  2 Ce 3.02, 1 Ac 3.11, 1 Tl 3.35

* final energy: -39.69 eV/f.u.

Record 2
A relaxed AcCe2TmSe4 crystal. Source: Alexandria via LeMat-Bulk, functional GGA-PBE.

a = 4.1953 Å, b = 7.3415 Å, c = 7.3790 Å
α = 71.06°, β = 90.00°, γ = 90.00°
Closest atoms and distances in Å follow each position.
Sites, in units of the cell vectors:
Ac 0.5000 0.5000 0.0000  6 Se 3.06-3.07
Ce 0.0000 0.0000 0.0000  6 Se 3.08-3.09
Ce 0.5000 0.0000 0.5000  6 Se 2.93
Tm 0.0000 0.5000 0.5000  6 Se 2.91
Se 0.0000 0.7540 0.7310  1 Tm 2.91, 3 Ce 2.93-3.09, 2 Ac 3.07
Se 0.0000 0.2460 0.2690  1 Tm 2.91, 3 Ce 2.93-3.09, 2 Ac 3.07
Se 0.5000 0.7417 0.2694  2 Tm 2.91, 3 Ce 2.93-3.08, 1 Ac 3.06
Se 0.5000 0.2583 0.7306  2 Tm 2.91, 3 Ce 2.93-3.08, 1 Ac 3.06

* final energy: -48.47 eV/f.u.

Record 3
A relaxed Ac3Ce3TmSe8 crystal. Source: Alexandria via LeMat-Bulk, functional GGA-PBE.

a = 8.5570 Å, b = 8.5546 Å, c = 8.7207 Å
α = 119.35°, β = 90.00°, γ = 120.01°
Closest atoms and distances in Å follow each position.
Sites, in units of the cell vectors:
Ac 0.0000 0.0000 0.0000  6 Se 3.12
Ac 0.0000 0.5000 0.0000  6 Se 3.12
Ac 0.5000 0.5000 0.0000  6 Se 3.12
Ce 0.5000 0.0000 0.5000  6 Se 2.99-3.00
Ce 0.5000 0.5000 0.5000  6 Se 2.99
Ce 0.0000 0.5000 0.5000  6 Se 2.99
Tm 0.0000 0.0000 0.5000  6 Se 2.90
Se 0.2550 0.5100 0.2657  3 Ce 2.99, 3 Ac 3.12
Se 0.7450 0.4900 0.7343  3 Ce 2.99, 3 Ac 3.12
Se 0.7622 0.5243 0.2720  1 Tm 2.90, 2 Ce 2.99, 2 Ac 3.12
Se 0.2378 0.4757 0.7280  1 Tm 2.90, 2 Ce 2.99, 2 Ac 3.12
Se 0.7626 0.0099 0.2720  1 Tm 2.90, 2 Ce 2.99-3.00, 2 Ac 3.12
Se 0.2374 0.9901 0.7280  1 Tm 2.90, 2 Ce 2.99-3.00, 2 Ac 3.12
Se 0.2473 0.0099 0.2720  1 Tm 2.90, 2 Ce 2.99-3.00, 2 Ac 3.12
Se 0.7527 0.9901 0.7280  1 Tm 2.90, 2 Ce 2.99-3.00, 2 Ac 3.12

* final energy: -90.33 eV/f.u.

Record 4
A relaxed AcCe2TmSe6 crystal. Source: Alexandria via LeMat-Bulk, functional GGA-PBE.

a = 7.5151 Å, b = 7.5152 Å, c = 7.9126 Å
α = 61.65°, β = 61.65°, γ = 60.00°
Closest atoms and distances in Å follow each position.
Sites, in units of the cell vectors:
Ac 0.8085 0.8085 0.5746  6 Se 3.05-3.17
Ce 0.5215 0.5215 0.4355  6 Se 2.98-3.01
Ce 0.0134 0.0134 0.9599  6 Se 2.93-3.01
Tm 0.3199 0.3199 0.0402  6 Se 2.85-2.87
Se 0.5984 0.2164 0.2484  1 Tm 2.85, 2 Ce 2.98-3.01, 1 Ac 3.17
Se 0.2164 0.9368 0.2484  1 Tm 2.85, 2 Ce 2.98-3.01, 1 Ac 3.17
Se 0.9368 0.5984 0.2484  1 Tm 2.85, 2 Ce 2.98-3.01, 1 Ac 3.17
Se 0.3938 0.7125 0.7532  1 Tm 2.87, 2 Ce 2.93-3.01, 1 Ac 3.05
Se 0.7125 0.1405 0.7532  1 Tm 2.87, 2 Ce 2.93-3.01, 1 Ac 3.05
Se 0.1405 0.3938 0.7532  1 Tm 2.87, 2 Ce 2.93-3.01, 1 Ac 3.05

* final energy: -59.47 eV/f.u.

Record 5
A relaxed Ac2CeYSe6 crystal. Source: Alexandria via LeMat-Bulk, functional GGA-PBE.

a = 7.6465 Å, b = 7.6465 Å, c = 7.9528 Å
α = 61.27°, β = 61.27°, γ = 60.00°
Closest atoms and distances in Å follow each position.
Sites, in units of the cell vectors:
Ac 0.5257 0.5257 0.4228  6 Se 3.11-3.16
Ac 0.0246 0.0246 0.9263  6 Se 3.09-3.18
Ce 0.8161 0.8161 0.5516  6 Se 2.93-3.00
Y 0.3176 0.3176 0.0472  6 Se 2.86-2.91
Se 0.5967 0.1920 0.2588  1 Y 2.86, 1 Ce 3.00, 2 Ac 3.11-3.18
Se 0.1920 0.9525 0.2588  1 Y 2.86, 1 Ce 3.00, 2 Ac 3.11-3.18
Se 0.9525 0.5967 0.2588  1 Y 2.86, 1 Ce 3.00, 2 Ac 3.11-3.18
Se 0.4419 0.6866 0.7636  1 Y 2.91, 1 Ce 2.93, 2 Ac 3.09-3.16
Se 0.6866 0.1079 0.7636  1 Y 2.91, 1 Ce 2.93, 2 Ac 3.09-3.16
Se 0.1079 0.4419 0.7636  1 Y 2.91, 1 Ce 2.93, 2 Ac 3.09-3.16

* final energy: -60.46 eV/f.u.

Record 6
A relaxed AcCe2YSe4 crystal. Source: Alexandria via LeMat-Bulk, functional GGA-PBE.

a = 4.2221 Å, b = 7.3758 Å, c = 7.3852 Å
α = 70.92°, β = 90.00°, γ = 90.00°
Closest atoms and distances in Å follow each position.
Sites, in units of the cell vectors:
Ac 0.5000 0.5000 0.0000  6 Se 3.07-3.08
Ce 0.0000 0.0000 0.0000  6 Se 3.06
Ce 0.5000 0.0000 0.5000  6 Se 2.94
Y 0.0000 0.5000 0.5000  6 Se 2.95-2.96
Se 0.0000 0.7567 0.7340  3 Ce 2.94-3.06, 1 Y 2.95, 2 Ac 3.08
Se 0.0000 0.2433 0.2660  3 Ce 2.94-3.06, 1 Y 2.95, 2 Ac 3.08
Se 0.5000 0.7471 0.2640  3 Ce 2.94-3.06, 2 Y 2.96, 1 Ac 3.07
Se 0.5000 0.2529 0.7360  3 Ce 2.94-3.06, 2 Y 2.96, 1 Ac 3.07

* final energy: -50.73 eV/f.u.

Record 7
A relaxed Ac2CeYSe4 crystal. Source: Alexandria via LeMat-Bulk, functional GGA-PBE.

a = 4.2516 Å, b = 7.4160 Å, c = 7.5737 Å
α = 108.77°, β = 90.00°, γ = 90.00°
Closest atoms and distances in Å follow each position.
Sites, in units of the cell vectors:
Ac 0.5000 0.0000 0.5000  6 Se 3.12
Ac 0.0000 0.5000 0.5000  6 Se 3.17
Ce 0.5000 0.5000 0.0000  6 Se 2.98
Y 0.0000 0.0000 0.0000  6 Se 2.93
Se 0.5000 0.2365 0.2253  2 Y 2.93, 1 Ce 2.98, 3 Ac 3.12-3.17
Se 0.5000 0.7635 0.7747  2 Y 2.93, 1 Ce 2.98, 3 Ac 3.12-3.17
Se 0.0000 0.2519 0.7713  1 Y 2.93, 2 Ce 2.98, 3 Ac 3.12-3.17
Se 0.0000 0.7481 0.2287  1 Y 2.93, 2 Ce 2.98, 3 Ac 3.12-3.17

* final energy: -49.09 eV/f.u.

Record 8
A relaxed Ac3CeY3Se8 crystal. Source: Alexandria via LeMat-Bulk, functional GGA-PBE.

a = 8.4248 Å, b = 8.4252 Å, c = 8.6231 Å
α = 119.24°, β = 90.00°, γ = 120.00°
Closest atoms and distances in Å follow each position.
Sites, in units of the cell vectors:
Ac 0.0000 0.0000 0.0000  6 Se 3.13
Ac 0.0000 0.5000 0.0000  6 Se 3.13
Ac 0.5000 0.5000 0.0000  6 Se 3.13
Ce 0.0000 0.0000 0.5000  6 Se 3.02
Y 0.5000 0.0000 0.5000  6 Se 2.90-2.91
Y 0.5000 0.5000 0.5000  6 Se 2.90-2.91
Y 0.0000 0.5000 0.5000  6 Se 2.90-2.91
Se 0.2588 0.5177 0.2767  3 Y 2.91, 3 Ac 3.13
Se 0.7412 0.4823 0.7233  3 Y 2.91, 3 Ac 3.13
Se 0.7491 0.4983 0.2675  2 Y 2.90, 1 Ce 3.02, 2 Ac 3.13
Se 0.2509 0.5017 0.7325  2 Y 2.90, 1 Ce 3.02, 2 Ac 3.13
Se 0.7491 0.0184 0.2675  2 Y 2.90, 1 Ce 3.02, 2 Ac 3.13
Se 0.2509 0.9816 0.7325  2 Y 2.90, 1 Ce 3.02, 2 Ac 3.13
Se 0.2693 0.0184 0.2675  2 Y 2.90, 1 Ce 3.02, 2 Ac 3.13
Se 0.7307 0.9816 0.7325  2 Y 2.90, 1 Ce 3.02, 2 Ac 3.13

* final energy: -93.22 eV/f.u.

Record 9
A relaxed Ac3CeY2Se6 crystal. Source: Alexandria via LeMat-Bulk, functional GGA-PBE.

a = 7.3466 Å, b = 7.3466 Å, c = 7.6170 Å
α = 99.28°, β = 99.28°, γ = 120.11°
Closest atoms and distances in Å follow each position.
Sites, in units of the cell vectors:
Ac 0.1645 0.8355 0.5000  6 Se 3.13-3.17
Ac 0.8355 0.1645 0.5000  6 Se 3.13-3.17
Ac 0.5000 0.5000 0.5000  6 Se 3.12-3.16
Ce 0.0000 0.0000 0.0000  6 Se 2.97-2.98
Y 0.3330 0.6670 0.0000  6 Se 2.91-2.92
Y 0.6670 0.3330 0.0000  6 Se 2.91-2.92
Se 0.9249 0.5853 0.7745  2 Y 2.92, 1 Ce 2.98, 3 Ac 3.13-3.17
Se 0.7345 0.7345 0.2233  2 Y 2.91, 1 Ce 2.97, 3 Ac 3.12-3.16
Se 0.0751 0.4147 0.2255  2 Y 2.92, 1 Ce 2.98, 3 Ac 3.13-3.17
Se 0.5853 0.9249 0.7745  2 Y 2.92, 1 Ce 2.98, 3 Ac 3.13-3.17
Se 0.2655 0.2655 0.7767  2 Y 2.91, 1 Ce 2.97, 3 Ac 3.12-3.16
Se 0.4147 0.0751 0.2255  2 Y 2.92, 1 Ce 2.98, 3 Ac 3.13-3.17

* final energy: -73.87 eV/f.u.

Record 10
A relaxed Ac4Ce3YSe8 crystal. Source: Alexandria via LeMat-Bulk, functional GGA-PBE.

a = 8.6153 Å, b = 8.6811 Å, c = 8.6151 Å
α = 119.74°, β = 120.00°, γ = 90.00°
Closest atoms and distances in Å follow each position.
Sites, in units of the cell vectors:
Ac 0.5000 0.0000 0.0000  6 Se 3.17-3.18
Ac 0.5000 0.0000 0.5000  6 Se 3.13
Ac 0.0000 0.0000 0.0000  6 Se 3.13
Ac 0.0000 0.0000 0.5000  6 Se 3.13
Ce 0.5000 0.5000 0.0000  6 Se 2.99
Ce 0.5000 0.5000 0.5000  6 Se 2.99
Ce 0.0000 0.5000 0.5000  6 Se 2.99
Y 0.0000 0.5000 0.0000  6 Se 2.94-2.95
Se 0.2401 0.7289 0.9884  1 Y 2.94, 2 Ce 2.99, 3 Ac 3.13-3.18
Se 0.2409 0.7301 0.4818  1 Y 2.95, 2 Ce 2.99, 3 Ac 3.13-3.17
Se 0.2554 0.2670 0.5108  3 Ce 2.99, 3 Ac 3.13
Se 0.7483 0.7289 0.9884  1 Y 2.94, 2 Ce 2.99, 3 Ac 3.13-3.18
Se 0.2517 0.2711 0.0116  1 Y 2.94, 2 Ce 2.99, 3 Ac 3.13-3.18
Se 0.7446 0.7330 0.4892  3 Ce 2.99, 3 Ac 3.13
Se 0.7591 0.2699 0.5182  1 Y 2.95, 2 Ce 2.99, 3 Ac 3.13-3.17
Se 0.7599 0.2711 0.0116  1 Y 2.94, 2 Ce 2.99, 3 Ac 3.13-3.18

* final energy: -97.81 eV/f.u.

Record 11
A relaxed Ac3Ce2YSe6 crystal. Source: Alexandria via LeMat-Bulk, functional GGA-PBE.

a = 7.4371 Å, b = 7.4371 Å, c = 7.5552 Å
α = 99.46°, β = 99.46°, γ = 120.06°
Closest atoms and distances in Å follow each position.
Sites, in units of the cell vectors:
Ac 0.1686 0.8314 0.5000  6 Se 3.13-3.16
Ac 0.8314 0.1686 0.5000  6 Se 3.13-3.16
Ac 0.5000 0.5000 0.5000  6 Se 3.13-3.17
Ce 0.3339 0.6661 0.0000  6 Se 2.99
Ce 0.6661 0.3339 0.0000  6 Se 2.99
Y 0.0000 0.0000 0.0000  6 Se 2.93-2.94
Se 0.9242 0.5968 0.7716  1 Y 2.93, 2 Ce 2.99, 3 Ac 3.13-3.16
Se 0.7500 0.7500 0.2311  1 Y 2.94, 2 Ce 2.99, 3 Ac 3.13-3.17
Se 0.0758 0.4032 0.2284  1 Y 2.93, 2 Ce 2.99, 3 Ac 3.13-3.16
Se 0.5968 0.9242 0.7716  1 Y 2.93, 2 Ce 2.99, 3 Ac 3.13-3.16
Se 0.2500 0.2500 0.7689  1 Y 2.94, 2 Ce 2.99, 3 Ac 3.13-3.17
Se 0.4032 0.0758 0.2284  1 Y 2.93, 2 Ce 2.99, 3 Ac 3.13-3.16

* final energy: -73.42 eV/f.u.

Ordered DOS at the Fermi energy results: 0.718 1.673 1.468 1.049 0.455 1.689 1.129 0.870 0.914 1.392 1.346; unit states/eV/atom.
Ordered spin magnetization results: 1.001 2.122 3.882 2.004 1.004 2.107 1.023 1.673 0.939 2.996 1.969; unit μB per formula unit.
Ordered energy relative to the elements, uncorrected results: -1372 -1760 -1857 -1812 -1894 -1794 -1817 -1846 -1815 -1827 -1821; unit meV per atom.